Material: Tb4AlCo2
Method: DFT, GGA-PBE
State: relaxed

Output
- DFT total energy: -5.346 eV per atom
- D(E_F): 23.6 states/eV per cell
- Total moment: 0.00 μB per cell
- Formation energy from the elements: -0.14 eV per atom

Cell lengths 4.7882, 4.7882, 25.1911 Å; angles 90.00, 90.00, 120.00 degrees
Space group R-3m (No. 166, hexagonal axes)
Symmetry-distinct sites (fractional):
Tb 0.0000 0.0000 0.1138 (multiplicity 6)
Tb 0.0000 0.0000 0.2955 (multiplicity 6)
Al 0.0000 0.0000 0.5000 (multiplicity 3)
Co 0.0000 0.0000 0.4071 (multiplicity 6)